# HfCrReNi

A relaxed HfCrReNi crystal (GGA-PBE, Alexandria via LeMat-Bulk).

Cell and atoms, written as POSCAR:
```
HfCrReNi
1.0
-2.265 -2.831 1.614
-0.084 -1.457 -2.673
8.006 -4.997 2.473
Ni Hf Cr Re
2 2 2 2
direct
0.000 0.000 0.117
0.000 0.500 0.617
0.500 0.000 0.548
0.500 0.500 0.048
0.500 0.000 0.289
0.500 0.500 0.789
0.000 0.500 0.338
0.000 0.000 0.838
```

## Properties
- formation enthalpy at 0 K (meV per atom) = 5
- uncorrected energy (Ha/atom) = -0.3472
- volume (Å³/f.u.) = 59
- density (Mg/m³) = 13.4